# CeNiRh, relaxed, DFT PBE-GGA
# Calculated formation energy (eV/atom): -0.449
# Fermi-level density of states (states/eV/cell): 6.46
# V (A^3/atom): 19.21
data_CeNiRh
_space_group_name_H-M_alt 'P -6 m 2'
_space_group_IT_number 187
_space_group_name_Hall 'P -6 2'
_cell_length_a 4.1967
_cell_length_b 4.1967
_cell_length_c 3.7782
_cell_angle_alpha 90.00
_cell_angle_beta 90.00
_cell_angle_gamma 120.00
loop_
_atom_site_label
_atom_site_type_symbol
_atom_site_fract_x
_atom_site_fract_y
_atom_site_fract_z
Ce1 Ce 0.0000 0.0000 0.0000
Ni1 Ni 0.6667 0.3333 0.5000
Rh1 Rh 0.3333 0.6667 0.5000

---

# Ce2Ni3Rh3, relaxed, DFT PBE-GGA
# Calculated formation energy (eV/atom): -0.491
# Fermi-level density of states (states/eV/cell): 12.02
# V (A^3/atom): 15.79
data_Ce2Ni3Rh3
_space_group_name_H-M_alt 'P m m m'
_space_group_IT_number 47
_cell_length_a 4.000
_cell_length_b 4.018
_cell_length_c 7.858
_cell_angle_alpha 90.00
_cell_angle_beta 90.00
_cell_angle_gamma 90.00
loop_
_space_group_symop_operation_xyz
'x,y,z'
'-x,-y,-z'
'-x,-y,z'
'x,y,-z'
'x,-y,-z'
'-x,y,z'
'-x,y,-z'
'x,-y,z'
loop_
_atom_site_label
_atom_site_type_symbol
_atom_site_fract_x
_atom_site_fract_y
_atom_site_fract_z
Ce1 Ce 0.000 0.000 0.249
Ni1 Ni 0.000 0.500 0.000
Ni2 Ni 0.500 0.500 0.243
Rh1 Rh 0.000 0.500 0.500
Rh2 Rh 0.500 0.000 0.000
Rh3 Rh 0.500 0.000 0.500

---

# CeNiRh, relaxed, DFT PBE-GGA
# Calculated formation energy (eV/atom): -0.517
# Fermi-level density of states (states/eV/cell): 6.23
# V (A^3/atom): 17.23
data_CeNiRh
_space_group_name_H-M_alt 'C 1 2/m 1'
_space_group_IT_number 12
_cell_length_a 13.493
_cell_length_b 3.862
_cell_length_c 3.996
_cell_angle_alpha 90.00
_cell_angle_beta 96.81
_cell_angle_gamma 90.00
loop_
_space_group_symop_operation_xyz
'x,y,z'
'-x,-y,-z'
'-x,y,-z'
'x,-y,z'
'x+1/2,y+1/2,z'
'-x+1/2,-y+1/2,-z'
'-x+1/2,y+1/2,-z'
'x+1/2,-y+1/2,z'
loop_
_atom_site_label
_atom_site_type_symbol
_atom_site_fract_x
_atom_site_fract_y
_atom_site_fract_z
Ce1 Ce 0.104 0.000 0.199
Ni1 Ni 0.249 0.000 0.749
Rh1 Rh 0.099 0.500 0.689

---

# Ce4NiRh12, relaxed, DFT PBE-GGA
# Calculated formation energy (eV/atom): -0.522
# Fermi-level density of states (states/eV/cell): 48.67
# V (A^3/atom): 17.01
data_Ce4NiRh12
_space_group_name_H-M_alt 'I m -3 m'
_space_group_IT_number 229
_space_group_name_Hall '-I 4 2 3'
_cell_length_a 8.332
_cell_length_b 8.332
_cell_length_c 8.332
_cell_angle_alpha 90.00
_cell_angle_beta 90.00
_cell_angle_gamma 90.00
loop_
_atom_site_label
_atom_site_type_symbol
_atom_site_fract_x
_atom_site_fract_y
_atom_site_fract_z
Ce1 Ce 0.250 0.250 0.250
Ni1 Ni 0.000 0.000 0.000
Rh1 Rh 0.000 0.000 0.288
Rh2 Rh 0.000 0.250 0.500

---

# Ce2NiRhS5, relaxed, DFT PBE-GGA
# Uncorrected formation energy (eV per formula unit): -11.166
# Fermi-level density of states (states/eV/cell): 42.85
# V (A^3/atom): 18.78
data_Ce2NiRhS5
_space_group_name_H-M_alt 'C m c 21'
_space_group_IT_number 36
_cell_length_a 3.839
_cell_length_b 16.324
_cell_length_c 10.789
_cell_angle_alpha 90.00
_cell_angle_beta 90.00
_cell_angle_gamma 90.00
loop_
_space_group_symop_operation_xyz
'x,y,z'
'-x,-y,z+1/2'
'-x,y,z'
'x,-y,z+1/2'
'x+1/2,y+1/2,z'
'-x+1/2,-y+1/2,z+1/2'
'-x+1/2,y+1/2,z'
'x+1/2,-y+1/2,z+1/2'
loop_
_atom_site_label
_atom_site_type_symbol
_atom_site_fract_x
_atom_site_fract_y
_atom_site_fract_z
Ce1 Ce 0.000 0.107 0.000
Ce2 Ce 0.000 0.132 0.602
Ni1 Ni 0.000 0.432 0.746
Rh1 Rh 0.000 0.203 0.317
S1 S 0.000 0.055 0.349
S2 S 0.000 0.280 0.959
S3 S 0.000 0.305 0.663
S4 S 0.000 0.354 0.303
S5 S 0.000 0.494 0.077

---

# CeNiRhS3, relaxed, DFT PBE-GGA
# Uncorrected formation energy (eV per formula unit): -5.658
# Fermi-level density of states (states/eV/cell): 11.96
# V (A^3/atom): 17.59
data_CeNiRhS3
_space_group_name_H-M_alt 'P 1 21/m 1'
_space_group_IT_number 11
_cell_length_a 7.007
_cell_length_b 3.837
_cell_length_c 8.002
_cell_angle_alpha 90.00
_cell_angle_beta 101.13
_cell_angle_gamma 90.00
loop_
_space_group_symop_operation_xyz
'x,y,z'
'-x,-y,-z'
'-x,y+1/2,-z'
'x,-y+1/2,z'
loop_
_atom_site_label
_atom_site_type_symbol
_atom_site_fract_x
_atom_site_fract_y
_atom_site_fract_z
Ce1 Ce 0.195 0.250 0.243
Ni1 Ni 0.087 0.250 0.585
Rh1 Rh 0.333 0.750 0.837
S1 S 0.102 0.250 0.870
S2 S 0.238 0.750 0.528
S3 S 0.443 0.750 0.144

---

# Ce2Ni3Sb4Rh, relaxed, DFT PBE-GGA
# Uncorrected formation energy (eV per formula unit): -6.519
# Fermi-level density of states (states/eV/cell): 13.50
# V (A^3/atom): 20.41
data_Ce2Ni3Sb4Rh
_space_group_name_H-M_alt 'P -4 m 2'
_space_group_IT_number 115
_cell_length_a 4.539
_cell_length_b 4.539
_cell_length_c 9.907
_cell_angle_alpha 90.00
_cell_angle_beta 90.00
_cell_angle_gamma 90.00
loop_
_space_group_symop_operation_xyz
'x,y,z'
'y,-x,-z'
'-x,-y,z'
'-y,x,-z'
'-x,y,z'
'-y,-x,-z'
'x,-y,z'
'y,x,-z'
loop_
_atom_site_label
_atom_site_type_symbol
_atom_site_fract_x
_atom_site_fract_y
_atom_site_fract_z
Ce1 Ce 0.000 0.500 0.241
Ni1 Ni 0.000 0.000 0.000
Ni2 Ni 0.000 0.500 0.617
Sb1 Sb 0.000 0.000 0.500
Sb2 Sb 0.000 0.500 0.867
Sb3 Sb 0.500 0.500 0.500
Rh1 Rh 0.500 0.500 0.000

---

# Ce2NiSb4Rh3, relaxed, DFT PBE-GGA
# Uncorrected formation energy (eV per formula unit): -7.236
# Fermi-level density of states (states/eV/cell): 13.52
# V (A^3/atom): 21.40
data_Ce2NiSb4Rh3
_space_group_name_H-M_alt 'P -4 m 2'
_space_group_IT_number 115
_cell_length_a 4.570
_cell_length_b 4.570
_cell_length_c 10.248
_cell_angle_alpha 90.00
_cell_angle_beta 90.00
_cell_angle_gamma 90.00
loop_
_space_group_symop_operation_xyz
'x,y,z'
'y,-x,-z'
'-x,-y,z'
'-y,x,-z'
'-x,y,z'
'-y,-x,-z'
'x,-y,z'
'y,x,-z'
loop_
_atom_site_label
_atom_site_type_symbol
_atom_site_fract_x
_atom_site_fract_y
_atom_site_fract_z
Ce1 Ce 0.000 0.500 0.238
Ni1 Ni 0.500 0.500 0.000
Sb1 Sb 0.000 0.000 0.500
Sb2 Sb 0.000 0.500 0.875
Sb3 Sb 0.500 0.500 0.500
Rh1 Rh 0.000 0.000 0.000
Rh2 Rh 0.000 0.500 0.624